No. 1
Below is an optimized crystal structure of CsInPbCl6, with properties calculated at the PBE level.

Structure (POSCAR):
```
CsInPbCl6
1.0
-6.6722 1.9352 2.1337
-5.8240 -3.2497 -2.8876
0.2213 -5.2023 5.4097
Cs In Pb Cl
1 1 1 6
Cartesian
-6.4508 -3.2671 7.5434
-4.0546 -3.0394 2.4535
-8.2200 -3.4775 2.2022
-2.2509 -2.6439 0.6711
-2.4329 -3.0743 4.4424
-5.9702 -3.6247 4.0573
-3.6274 -5.5468 2.1132
-5.8457 -2.8439 0.6259
-4.2003 -0.5023 2.8107
```

Computed properties:
DOS(E_F), states/eV per cell: 0.000
E_form (uncorrected), eV per atom: -1.359
Symmetry: No. 149

No. 2
Below is an optimized crystal structure of Cs2InPbCl6, with properties calculated at the PBE level.

Structure (POSCAR):
```
Cs2InPbCl6
1.0
7.9236 0.0000 0.0000
0.0000 7.9236 0.0000
3.9618 3.9618 5.5876
Pb Cs Cl In
1 2 6 1
Cartesian
0.0000 0.0000 0.0000
7.9236 3.9618 2.7938
3.9618 7.9236 2.7938
3.9618 3.9618 2.7249
7.9236 7.9236 2.8628
2.0270 2.0270 0.0000
5.8966 5.8966 0.0000
5.8966 2.0270 0.0000
2.0270 5.8966 0.0000
3.9618 3.9618 0.0000
```

Computed properties:
DOS(E_F), states/eV per cell: 4.225
E_form (uncorrected), eV per atom: -1.447
Symmetry: No. 139

No. 3
Below is an optimized crystal structure of CsInPbCl4, with properties calculated at the PBE level.

Structure (POSCAR):
```
CsInPbCl4
1.0
-4.9122 0.1096 2.9160
-2.7043 -2.3163 -4.4684
5.4231 -6.5877 3.7857
Cs In Pb Cl
1 1 1 4
Cartesian
-3.3712 -3.1846 0.0382
1.1180 -5.3245 2.0835
-2.2067 -8.7308 2.2084
-1.3446 -1.1938 -2.2203
-2.4486 0.0192 1.4719
-2.7295 -6.2411 1.2342
0.5944 -2.8308 1.1077
```

Computed properties:
DOS(E_F), states/eV per cell: 0.000
E_form (uncorrected), eV per atom: -1.278
Symmetry: No. 107

No. 4
Below is an optimized crystal structure of CsPmIn2Cl6, with properties calculated at the PBE level.

Structure (POSCAR):
```
CsPmIn2Cl6
1.0
-5.9482 0.7199 -5.3233
1.5738 -0.3556 -7.8503
-2.3970 -6.7177 -4.2721
Cs Pm In Cl
1 1 2 6
Cartesian
-4.9172 -3.5974 -13.1043
-1.4898 -0.1065 -4.3868
-3.3218 -2.7105 -8.7316
-2.3580 -6.4372 -4.2769
-3.5298 -1.2473 -5.7670
-0.3762 -1.7554 -9.8954
-5.4995 -1.0636 -10.6028
-3.0326 -5.1423 -10.6971
-5.6679 -4.7402 -8.2220
-2.2203 -5.1921 -7.1516
```

Computed properties:
DOS(E_F), states/eV per cell: 0.000
E_form (uncorrected), eV per atom: -1.657
Symmetry: No. 1

No. 5
Below is an optimized crystal structure of Cs2PrInCl6, with properties calculated at the PBE level.

Structure (POSCAR):
```
Cs2PrInCl6
1.0
8.0055 0.0000 0.0075
0.0000 8.3606 0.0000
0.0809 0.0000 11.4833
Cs Pr In Cl
4 2 2 12
Cartesian
0.1665 7.8567 2.8772
4.2097 4.6843 8.6226
7.9199 0.5040 8.6135
3.8767 3.6763 2.8682
4.0432 0.0000 5.7454
0.0000 4.1803 0.0000
4.0027 0.0000 0.0037
0.0405 4.1803 5.7416
2.2443 5.7407 0.4922
6.2875 6.8002 6.2375
5.8421 2.6199 10.9986
1.7989 1.5604 5.2532
2.5743 6.0632 5.1943
6.6175 6.4778 10.9396
5.5121 2.2975 6.2965
1.4689 1.8828 0.5511
7.3196 4.4124 2.6830
3.3574 8.1285 8.4209
0.7668 3.9482 8.8077
4.7290 0.2321 3.0698
```

Computed properties:
DOS(E_F), states/eV per cell: 0.000
E_form (uncorrected), eV per atom: -1.915
Symmetry: No. 14

No. 6
Below is an optimized crystal structure of Cs2PuInCl6, with properties calculated at the PBE level.

Structure (POSCAR):
```
Cs2PuInCl6
1.0
7.9245 0.0000 -0.0055
0.0000 8.3112 0.0000
0.0609 0.0000 11.4212
Cs Pu In Cl
4 2 2 12
Cartesian
0.1483 7.8287 2.8446
4.1410 4.6381 8.5524
7.8371 0.4825 8.5711
3.8444 3.6731 2.8633
3.9927 0.0000 5.7079
0.0000 4.1556 0.0000
3.9623 0.0000 -0.0027
0.0304 4.1556 5.7106
2.1974 5.7090 0.4679
6.1901 6.7578 6.1757
5.7881 2.6022 10.9478
1.7953 1.5534 5.2400
2.5542 6.0311 5.2478
6.5469 6.4357 10.9556
5.4312 2.2801 6.1679
1.4385 1.8755 0.4601
7.3142 4.3665 2.6434
3.3824 8.1002 8.3568
0.6712 3.9446 8.7723
4.6030 0.2109 3.0590
```

Computed properties:
DOS(E_F), states/eV per cell: 19.909
E_form (uncorrected), eV per atom: -1.772
Symmetry: No. 14

No. 7
Below is an optimized crystal structure of Cs4PuIn3Cl12, with properties calculated at the PBE level.

Structure (POSCAR):
```
Cs4PuIn3Cl12
1.0
9.6922 0.0000 0.0000
-3.2307 9.1379 0.0000
-3.2307 -4.5689 7.9136
Cs Pu In Cl
4 1 3 12
Cartesian
1.6154 2.2845 3.9568
-1.6154 -2.2845 3.9568
4.8461 0.0000 0.0000
-1.6154 4.5689 0.0000
0.0000 0.0000 0.0000
3.2307 -2.2845 3.9568
3.2307 4.5689 0.0000
-3.2307 2.2845 3.9568
-1.6154 1.1422 5.9352
4.9050 -3.4684 6.0074
1.5565 -1.1006 1.9063
4.8461 3.4267 1.9784
4.9050 6.9367 0.0000
1.5565 2.2012 0.0000
4.8461 0.0000 3.9568
-1.6154 4.5689 3.9568
1.6154 -1.1422 5.9352
-4.9050 3.4684 6.0074
1.6154 5.7112 1.9784
-1.5565 1.1006 1.9063
```

Computed properties:
DOS(E_F), states/eV per cell: 13.848
E_form (uncorrected), eV per atom: -1.576
Symmetry: No. 229

No. 8
Below is an optimized crystal structure of CsPuInCl5, with properties calculated at the PBE level.

Structure (POSCAR):
```
CsPuInCl5
1.0
-4.6972 -6.1503 2.3801
7.7462 -2.1222 -1.0235
1.2823 3.8834 9.2837
Cs Pu In Cl
2 2 2 10
Cartesian
3.6903 -2.5681 2.4945
0.6409 -1.8210 8.1458
0.6411 1.9417 4.6418
0.0000 0.0000 0.0000
-0.2306 -3.8373 3.5670
4.5619 -0.5518 7.0733
7.0348 -1.4854 1.5796
-2.7035 -2.9037 9.0606
-2.0097 -5.9830 2.7907
6.3409 1.5939 7.8495
-2.2856 -2.9327 5.3920
6.6168 -1.4563 5.2483
2.0863 -4.1753 5.7434
2.2450 -0.2137 4.8968
0.1858 -2.6145 0.6429
4.1454 -1.7746 9.9974
```

Computed properties:
DOS(E_F), states/eV per cell: 20.484
E_form (uncorrected), eV per atom: -1.668
Symmetry: No. 15